(1)
# PBE-GGA AgMo2Se, relaxed
# Electronic total energy: -6.690 eV per atom
# Mass density: 8.80 g/cm3
# Formation energy (no corrections): 0.31 eV per atom
data_AgMo2Se
_cell_length_a 3.244
_cell_length_b 4.705
_cell_length_c 9.361
_cell_angle_alpha 90.00
_cell_angle_beta 90.00
_cell_angle_gamma 90.00
_space_group_name_H-M_alt 'P 1'
_space_group_IT_number 1
loop_
_space_group_symop_operation_xyz
'x,y,z'
loop_
_atom_site_label
_atom_site_type_symbol
_atom_site_fract_x
_atom_site_fract_y
_atom_site_fract_z
Ag1 Ag 0.000 0.000 0.000
Ag2 Ag 0.500 0.500 0.000
Mo1 Mo 0.000 0.000 0.470
Mo2 Mo 0.000 0.500 0.255
Mo3 Mo 0.500 0.000 0.255
Mo4 Mo 0.500 0.500 0.470
Se1 Se 0.000 0.500 0.702
Se2 Se 0.500 0.000 0.702

=====

(2)
# PBE-GGA AgMo2Se, relaxed
# Electronic total energy: -6.513 eV per atom
# Mass density: 9.43 g/cm3
# Formation energy (no corrections): 0.49 eV per atom
data_AgMo2Se
_cell_length_a 10.286
_cell_length_b 3.144
_cell_length_c 4.598
_cell_angle_alpha 90.00
_cell_angle_beta 116.26
_cell_angle_gamma 90.00
_space_group_name_H-M_alt 'P 1'
_space_group_IT_number 1
loop_
_space_group_symop_operation_xyz
'x,y,z'
loop_
_atom_site_label
_atom_site_type_symbol
_atom_site_fract_x
_atom_site_fract_y
_atom_site_fract_z
Ag1 Ag 0.000 0.000 0.000
Ag2 Ag 0.500 0.500 0.000
Mo1 Mo 0.222 0.000 0.727
Mo2 Mo 0.278 0.500 0.273
Mo3 Mo 0.722 0.500 0.727
Mo4 Mo 0.778 0.000 0.273
Se1 Se 0.000 0.500 0.500
Se2 Se 0.500 0.000 0.500

=====

(3)
# PBE-GGA Ag2MoSe, relaxed
# Electronic total energy: -4.457 eV per atom
# Mass density: 8.73 g/cm3
# Formation energy (no corrections): 0.55 eV per atom
data_Ag2MoSe
_cell_length_a 3.811
_cell_length_b 3.811
_cell_length_c 10.235
_cell_angle_alpha 90.00
_cell_angle_beta 90.00
_cell_angle_gamma 90.00
_space_group_name_H-M_alt 'P 1'
_space_group_IT_number 1
loop_
_space_group_symop_operation_xyz
'x,y,z'
loop_
_atom_site_label
_atom_site_type_symbol
_atom_site_fract_x
_atom_site_fract_y
_atom_site_fract_z
Ag1 Ag 0.000 0.500 0.250
Ag2 Ag 0.000 0.500 0.750
Ag3 Ag 0.500 0.000 0.250
Ag4 Ag 0.500 0.000 0.750
Mo1 Mo 0.000 0.000 0.000
Mo2 Mo 0.500 0.500 0.500
Se1 Se 0.000 0.000 0.500
Se2 Se 0.500 0.500 0.000

=====

Copy entry 3 word for word.
# PBE-GGA Ag2MoSe, relaxed
# Electronic total energy: -4.457 eV per atom
# Mass density: 8.73 g/cm3
# Formation energy (no corrections): 0.55 eV per atom
data_Ag2MoSe
_cell_length_a 3.811
_cell_length_b 3.811
_cell_length_c 10.235
_cell_angle_alpha 90.00
_cell_angle_beta 90.00
_cell_angle_gamma 90.00
_space_group_name_H-M_alt 'P 1'
_space_group_IT_number 1
loop_
_space_group_symop_operation_xyz
'x,y,z'
loop_
_atom_site_label
_atom_site_type_symbol
_atom_site_fract_x
_atom_site_fract_y
_atom_site_fract_z
Ag1 Ag 0.000 0.500 0.250
Ag2 Ag 0.000 0.500 0.750
Ag3 Ag 0.500 0.000 0.250
Ag4 Ag 0.500 0.000 0.750
Mo1 Mo 0.000 0.000 0.000
Mo2 Mo 0.500 0.500 0.500
Se1 Se 0.000 0.000 0.500
Se2 Se 0.500 0.500 0.000